Material: ZnCrCoF6
Method: DFT, GGA+U
State: optimized geometry

CIF file:
```
data_ZnCrCoF6
_symmetry_space_group_name_H-M 'P -3 1 c'
_symmetry_Int_Tables_number 163
_symmetry_space_group_name_Hall '-P 3 2c'
_cell_length_a 5.3238
_cell_length_b 5.3238
_cell_length_c 9.0080
_cell_angle_alpha 90.00
_cell_angle_beta 90.00
_cell_angle_gamma 120.00
loop_
_atom_site_label
_atom_site_type_symbol
_atom_site_fract_x
_atom_site_fract_y
_atom_site_fract_z
Zn1 Zn 0.0000 0.0000 0.0000
Cr1 Cr 0.3333 0.6667 0.2500
Co1 Co 0.3333 0.6667 0.7500
F1 F 0.0103 0.3344 0.6280
```

## Properties
As for the total magnetic moment: 7.1 μB per formula unit. The calculation puts the calculated density at 4.4 g cm⁻³. The calculation puts the volume at 12.28 A^3/atom. The calculation puts the raw total energy at -90.0 eV/cell.